DyMnAs3: relaxed, PBE.

Cell and atoms, written as POSCAR:
```
DyMnAs3
1.0
-3.9325 -3.7570 1.0234
0.0061 -1.4951 -5.4654
8.4770 -8.2552 2.2677
Dy Mn As
4 4 12
Direct
0.7500 0.4957 0.6879
0.2500 0.5043 0.3121
0.7500 0.9957 0.3121
0.2500 0.0043 0.6879
0.5000 0.2500 0.0881
0.0000 0.7500 0.9119
0.5000 0.7500 0.9119
0.0000 0.2500 0.0881
0.0000 0.2500 0.4985
0.5000 0.7500 0.5015
0.0000 0.7500 0.5015
0.5000 0.2500 0.4985
0.2500 0.1096 0.9315
0.7500 0.8904 0.0685
0.2500 0.6096 0.0685
0.7500 0.3904 0.9315
0.2500 0.5024 0.7795
0.7500 0.4976 0.2205
0.2500 0.0024 0.2205
0.7500 0.9976 0.7795
```

Summary:
symmetry	Pbcm
formation energy	-0.686	eV/atom
DOS at the Fermi energy	0.48	states/eV/atom
density	7.77	g/cm3

Dy2MnAs: relaxed, PBE.

Cell and atoms, written as POSCAR:
```
Dy2MnAs
1.0
-3.7188 -0.6595 -0.4925
-1.3158 -3.5743 -0.0062
-2.9895 -0.9446 9.1109
As Mn Dy
1 1 2
Direct
0.5000 0.5000 0.5000
0.0000 0.0000 0.0000
0.1057 0.1057 0.6830
0.8943 0.8943 0.3170
```

Summary:
symmetry	R-3m
formation energy	0.003	eV/atom
DOS at the Fermi energy	0.90	states/eV/atom
density	6.41	g/cm3